A plane-wave DFT calculation with PBE+U was carried out for CoPbClO2 after structural relaxation.

Output
* final energy: -5.061 eV per atom
* mass density: 5.7 Mg/m³
* total magnetic moment: 1.98 μB/f.u.

Cell lengths 3.8889, 7.9678, 7.5856 Å; angles 123.59, 90.00, 90.00 degrees
Last column: nearest neighbours and their distance in Å.
Atoms (fractional coordinates):
Cl: 0.2500 0.9282 0.7044  1 Co 2.31
Co: 0.7500 0.4092 0.5655  4 O 1.86-1.99
Pb: 0.7500 0.2989 0.0061  4 O 2.40-2.58
O: 0.7500 0.5310 0.4132  3 Co 1.88-1.99
Pb: 0.2500 0.7011 0.9939  4 O 2.40-2.58
Cl: 0.7500 0.0718 0.2956  1 Co 2.31
O: 0.7500 0.4905 0.8478  1 Co 1.86
O: 0.2500 0.4690 0.5868  3 Co 1.88-1.99
Co: 0.2500 0.5908 0.4345  4 O 1.86-1.99
O: 0.2500 0.5095 0.1522  1 Co 1.86